Record 1
## SrLiV2 (GGA-PBE)

Data for crystalline SrLiV2 at its relaxed geometry.

Output
total energy: -35.319 eV per cell
energy of formation: 4.17 eV/f.u.
space group: I-42d

a = 10.973 Å, b = 10.973 Å, c = 10.973 Å
α = 157.70°, β = 157.70°, γ = 31.74°
Positions (direct):
Sr1 0.000 0.000 0.000
Sr2 0.750 0.250 0.500
Li1 0.250 0.750 0.500
Li2 0.500 0.500 0.000
V1 0.359 0.125 0.734
V2 0.375 0.641 0.766
V3 0.391 0.625 0.266
V4 0.875 0.609 0.234

***

Record 2
## Na4MgPb15 (GGA-PBE)

Data for crystalline Na4MgPb15 at its relaxed geometry.

Output
total energy: -64.406 eV per cell
energy of formation: -1.91 eV/f.u.
space group: P4/mmm

a = 5.003 Å, b = 5.003 Å, c = 23.822 Å
α = 90.00°, β = 90.00°, γ = 90.00°
Positions (direct):
Na1 0.000 0.000 0.101
Na2 0.000 0.000 0.302
Na3 0.000 0.000 0.698
Na4 0.000 0.000 0.899
Mg1 0.000 0.000 0.500
Pb1 0.000 0.500 0.000
Pb2 0.000 0.500 0.202
Pb3 0.000 0.500 0.404
Pb4 0.000 0.500 0.596
Pb5 0.000 0.500 0.798
Pb6 0.500 0.000 0.000
Pb7 0.500 0.000 0.202
Pb8 0.500 0.000 0.404
Pb9 0.500 0.000 0.596
Pb10 0.500 0.000 0.798
Pb11 0.500 0.500 0.100
Pb12 0.500 0.500 0.303
Pb13 0.500 0.500 0.500
Pb14 0.500 0.500 0.697
Pb15 0.500 0.500 0.900

***

Record 3
## BaNiAgBr2 (GGA-PBE)

Data for crystalline BaNiAgBr2 at its relaxed geometry.

Output
total energy: -15.536 eV per cell
formation energy (no corrections): -327.0 meV per atom
space group: P4/mmm

a = 4.909 Å, b = 4.909 Å, c = 6.012 Å
α = 90.00°, β = 90.00°, γ = 90.00°
Positions (direct):
Ba1 0.000 0.000 0.000
Ni1 0.000 0.000 0.500
Ag1 0.500 0.500 0.000
Br1 0.000 0.500 0.500
Br2 0.500 0.000 0.500

***

Record 4
## PrYHoTm3 (GGA-PBE)

Data for crystalline PrYHoTm3 at its relaxed geometry.

Output
total energy: -58.131 eV per cell
energy of formation: 0.17 eV/f.u.
space group: Cmcm

a = 7.932 Å, b = 7.932 Å, c = 10.034 Å
α = 90.00°, β = 90.00°, γ = 143.12°
Positions (direct):
Pr1 0.001 0.999 0.750
Pr2 0.999 0.001 0.250
Y1 0.332 0.668 0.750
Y2 0.668 0.332 0.250
Ho1 0.500 0.500 0.000
Ho2 0.500 0.500 0.500
Tm1 0.168 0.832 0.000
Tm2 0.168 0.832 0.500
Tm3 0.332 0.668 0.250
Tm4 0.668 0.332 0.750
Tm5 0.832 0.168 0.000
Tm6 0.832 0.168 0.500

***

Record 5
## Pm2I3N (GGA-PBE)

Data for crystalline Pm2I3N at its relaxed geometry.

Output
total energy: -62.523 eV per cell
formation energy (no corrections): -1464.1 meV per atom
space group: C2/m

a = 10.528 Å, b = 10.528 Å, c = 12.886 Å
α = 125.81°, β = 125.81°, γ = 22.46°
Positions (direct):
Pm1 0.068 0.068 0.463
Pm2 0.369 0.369 0.227
Pm3 0.631 0.631 0.773
Pm4 0.932 0.932 0.537
I1 0.170 0.170 0.007
I2 0.286 0.286 0.376
I3 0.467 0.467 0.754
I4 0.533 0.533 0.246
I5 0.714 0.714 0.624
I6 0.830 0.830 0.993
N1 0.072 0.072 0.648
N2 0.928 0.928 0.352

***

Record 6
## TaTi2 (GGA-PBE)

Data for crystalline TaTi2 at its relaxed geometry.

Output
total energy: -54.952 eV per cell
energy of formation: 0.17 eV/f.u.
space group: P-1

a = 2.869 Å, b = 5.443 Å, c = 7.085 Å
α = 78.21°, β = 84.00°, γ = 77.99°
Positions (direct):
Ta1 0.238 0.244 0.015
Ta2 0.762 0.756 0.985
Ti1 0.118 0.103 0.661
Ti2 0.463 0.576 0.673
Ti3 0.537 0.424 0.327
Ti4 0.882 0.897 0.339